A plane-wave DFT calculation with PBE was carried out for a geometry-optimized Nb3CoSe6 structure.

```
20
Lattice="6.028 0.000 0.000 -3.014 5.220 0.000 0.000 0.000 12.321" Properties=species:S:1:pos:R:3 pbc="T T T"
Nb 0.000 0.000 0.000
Nb 0.000 0.000 6.160
Nb 0.000 3.480 0.020
Nb 0.000 3.480 6.140
Nb 3.014 1.740 6.181
Nb 3.014 1.740 12.300
Co 0.000 3.480 9.240
Co 3.014 1.740 3.080
Se -1.002 1.737 4.476
Se 5.025 1.737 7.845
Se -2.011 3.484 1.685
Se 4.016 3.483 10.636
Se -1.008 5.220 4.476
Se 2.005 0.000 7.845
Se 1.002 1.737 1.685
Se 1.003 1.737 10.636
Se 1.008 5.220 1.685
Se 4.022 0.000 10.636
Se 2.011 3.484 4.476
Se 2.011 3.483 7.845
```

M_tot   1.95 μB/f.u.
Total DFT energy (no corrections)   -0.242 Ha/atom